# Ni2BrO (GGA+U, optimized geometry)
data_Ni2BrO
_chemical_formula_sum 'Ni8 Br4 O4'
_cell_length_a 4.946
_cell_length_b 4.946
_cell_length_c 10.902
_cell_angle_alpha 90.00
_cell_angle_beta 90.00
_cell_angle_gamma 90.00
_space_group_name_H-M_alt 'I -4 2 d'
_space_group_IT_number 122
_space_group_name_Hall 'I -4 2bw'
loop_
_atom_site_label
_atom_site_fract_x
_atom_site_fract_y
_atom_site_fract_z
Ni1 0.139 0.250 0.125
Br1 0.000 0.000 0.500
O1 0.000 0.000 0.000
# Polymorph energy (0 for the lowest one) = 0 meV/atom
# Crystal system = tetragonal
# Calculated volume = 16.7 A^3/atom
# Size of the total moment = 12.0 Bohr magnetons per cell
# Electronic total energy = -52.04 eV for the cell shown
# Density = 5.3 Mg/m³